Record 1
Ba2LaCu3O7 (PBEsol, optimized geometry); uncorrected formation energy = -23.77 eV/f.u.; space-group type = Pmmm
1.0
3.866 0.000 0.000
0.000 3.906 0.000
0.000 0.000 11.651
Ba La Cu O
2 1 3 7
direct
0.000 0.000 0.179
0.000 0.000 0.821
0.000 0.000 0.500
0.500 0.500 0.000
0.500 0.500 0.342
0.500 0.500 0.658
0.000 0.500 0.366
0.000 0.500 0.634
0.500 0.000 0.000
0.500 0.000 0.366
0.500 0.000 0.634
0.500 0.500 0.159
0.500 0.500 0.841

---

Record 2
LiY2TcPb (PBEsol, optimized geometry); space-group type = P4/mmm; formation energy from the elements = 176 meV per atom
1.0
5.276 0.000 0.000
0.000 5.276 0.000
0.000 0.000 5.275
Li Y Tc Pb
1 2 1 1
direct
0.000 0.000 0.000
0.000 0.500 0.500
0.500 0.000 0.500
0.500 0.500 0.500
0.500 0.500 0.000

---

Record 3
InB3O (PBEsol, optimized geometry); uncorrected formation energy = 7.94 eV/f.u.; space-group type = Pm-3m
1.0
3.743 0.000 0.000
0.000 3.743 0.000
0.000 0.000 3.743
In B O
1 3 1
direct
0.000 0.000 0.000
0.000 0.500 0.500
0.500 0.000 0.500
0.500 0.500 0.000
0.500 0.500 0.500

---

Record 4
Zr2TaMo (PBEsol, optimized geometry); space-group type = Fm-3m; formation energy from the elements = 156 meV per atom
1.0
6.689 0.000 0.000
0.000 6.689 0.000
0.000 0.000 6.689
Zr Ta Mo
8 4 4
direct
0.250 0.250 0.250
0.250 0.250 0.750
0.250 0.750 0.250
0.250 0.750 0.750
0.750 0.250 0.250
0.750 0.250 0.750
0.750 0.750 0.250
0.750 0.750 0.750
0.000 0.000 0.000
0.000 0.500 0.500
0.500 0.000 0.500
0.500 0.500 0.000
0.000 0.000 0.500
0.000 0.500 0.000
0.500 0.000 0.000
0.500 0.500 0.500

---

Record 5
ZnIrRu (PBEsol, optimized geometry); space-group type = I4mm; formation energy from the elements = -59 meV per atom
1.0
2.705 0.000 0.000
0.000 2.705 0.000
0.000 0.000 11.230
Zn Ir Ru
2 2 2
direct
0.000 0.000 0.000
0.500 0.500 0.500
0.000 0.000 0.674
0.500 0.500 0.174
0.000 0.000 0.328
0.500 0.500 0.828

---

Record 6
Co4As3 (PBEsol, optimized geometry); space-group type = P6/mmm; formation energy from the elements = 699 meV per atom
1.0
5.147 0.000 0.000
-2.573 4.457 0.000
0.000 0.000 4.237
Co As
4 3
direct
0.000 0.000 0.247
0.000 0.000 0.753
0.333 0.667 0.000
0.667 0.333 0.000
0.000 0.500 0.500
0.500 0.000 0.500
0.500 0.500 0.500

---

Record 7
Mn2IrRh (PBEsol, optimized geometry); space-group type = P4/mmm; formation energy from the elements = -33 meV per atom
1.0
4.245 0.000 0.000
0.000 4.245 0.000
0.000 0.000 2.968
Mn Ir Rh
2 1 1
direct
0.000 0.500 0.000
0.500 0.000 0.000
0.000 0.000 0.500
0.500 0.500 0.500

---

Record 8
CoReTc (PBEsol, optimized geometry); space-group type = I4mm; formation energy from the elements = 190 meV per atom
1.0
3.091 0.000 0.000
0.000 3.091 0.000
0.000 0.000 8.236
Co Re Tc
2 2 2
direct
0.000 0.000 0.000
0.500 0.500 0.500
0.000 0.000 0.662
0.500 0.500 0.162
0.000 0.000 0.333
0.500 0.500 0.833